Record 1
Computed, not measured: ErAgGe after structural relaxation at the PBEsol level of DFT.

Energy of formation, eV per atom: -0.704
Energy, eV/atom: -5.097

```
data_ErAgGe
_chemical_formula_sum 'Er3 Ag3 Ge3'
_cell_length_a 6.9815
_cell_length_b 6.9815
_cell_length_c 4.1372
_cell_angle_alpha 90.00
_cell_angle_beta 90.00
_cell_angle_gamma 120.00
_symmetry_space_group_name_H-M 'P -6 2 m'
_symmetry_Int_Tables_number 189
_symmetry_space_group_name_Hall 'P -6 -2'
loop_
_atom_site_label
_atom_site_fract_x
_atom_site_fract_y
_atom_site_fract_z
Er1 0.0000 0.4181 0.0000
Ag1 0.0000 0.7496 0.5000
Ge1 0.0000 0.0000 0.0000
Ge2 0.3333 0.6667 0.5000
```

Record 2
Computed, not measured: CdTc2Se after structural relaxation at the PBEsol level of DFT.

Relative energy among the computed polymorphs, eV/atom: 0.076
Energy, eV/atom: -6.504

```
data_CdTc2Se
_chemical_formula_sum 'Cd2 Tc4 Se2'
_cell_length_a 7.711
_cell_length_b 2.969
_cell_length_c 5.791
_cell_angle_alpha 90.00
_cell_angle_beta 100.57
_cell_angle_gamma 90.00
_symmetry_space_group_name_H-M 'C 1 2/m 1'
_symmetry_Int_Tables_number 12
loop_
_symmetry_equiv_pos_as_xyz
'x,y,z'
'-x,-y,-z'
'-x,y,-z'
'x,-y,z'
'x+1/2,y+1/2,z'
'-x+1/2,-y+1/2,-z'
'-x+1/2,y+1/2,-z'
'x+1/2,-y+1/2,z'
loop_
_atom_site_label
_atom_site_fract_x
_atom_site_fract_y
_atom_site_fract_z
Cd1 0.000 0.000 0.000
Tc1 0.244 0.000 0.700
Se1 0.000 0.500 0.500
```

Record 3
Computed, not measured: LiMn2BO after structural relaxation at the PBEsol level of DFT.

Energy, eV/atom: -5.362

```
data_LiMn2BO
_chemical_formula_sum 'Li1 Mn2 B1 O1'
_cell_length_a 4.151
_cell_length_b 4.151
_cell_length_c 3.389
_cell_angle_alpha 90.00
_cell_angle_beta 90.00
_cell_angle_gamma 90.00
_symmetry_space_group_name_H-M 'P 4/m m m'
_symmetry_Int_Tables_number 123
_symmetry_space_group_name_Hall '-P 4 2'
loop_
_atom_site_label
_atom_site_fract_x
_atom_site_fract_y
_atom_site_fract_z
Li1 0.000 0.000 0.000
Mn1 0.000 0.500 0.000
B1 0.000 0.000 0.500
O1 0.500 0.500 0.500
```

Record 4
Computed, not measured: NaCd2N after structural relaxation at the PBEsol level of DFT.

Energy, eV/atom: -2.609

```
data_NaCd2N
_chemical_formula_sum 'Na4 Cd8 N4'
_cell_length_a 6.661
_cell_length_b 6.661
_cell_length_c 9.521
_cell_angle_alpha 90.00
_cell_angle_beta 90.00
_cell_angle_gamma 90.00
_symmetry_space_group_name_H-M 'I -4 2 d'
_symmetry_Int_Tables_number 122
_symmetry_space_group_name_Hall 'I -4 2bw'
loop_
_atom_site_label
_atom_site_fract_x
_atom_site_fract_y
_atom_site_fract_z
Na1 0.000 0.000 0.000
Cd1 0.088 0.750 0.625
N1 0.000 0.000 0.500
```

Record 5
Computed, not measured: CsMg3Zr after structural relaxation at the PBEsol level of DFT.

Energy of formation, eV per atom: 0.798
Energy, eV/atom: -2.239

```
data_CsMg3Zr
_chemical_formula_sum 'Cs1 Mg3 Zr1'
_cell_length_a 5.869
_cell_length_b 5.869
_cell_length_c 5.869
_cell_angle_alpha 90.00
_cell_angle_beta 90.00
_cell_angle_gamma 90.00
_symmetry_space_group_name_H-M 'P m -3 m'
_symmetry_Int_Tables_number 221
_symmetry_space_group_name_Hall '-P 4 2 3'
loop_
_atom_site_label
_atom_site_fract_x
_atom_site_fract_y
_atom_site_fract_z
Cs1 0.000 0.000 0.000
Mg1 0.000 0.500 0.500
Zr1 0.500 0.500 0.500
```

Record 6
Computed, not measured: TlFeIr2 after structural relaxation at the PBEsol level of DFT.

Relative energy among the computed polymorphs, eV/atom: 0.231
Energy of formation, eV per atom: 0.550
Energy, eV/atom: -7.260

```
data_TlFeIr2
_chemical_formula_sum 'Tl2 Fe2 Ir4'
_cell_length_a 2.944
_cell_length_b 4.538
_cell_length_c 9.184
_cell_angle_alpha 90.00
_cell_angle_beta 90.00
_cell_angle_gamma 90.00
_symmetry_space_group_name_H-M 'I m m 2'
_symmetry_Int_Tables_number 44
loop_
_symmetry_equiv_pos_as_xyz
'x,y,z'
'-x,-y,z'
'-x,y,z'
'x,-y,z'
'x+1/2,y+1/2,z+1/2'
'-x+1/2,-y+1/2,z+1/2'
'-x+1/2,y+1/2,z+1/2'
'x+1/2,-y+1/2,z+1/2'
loop_
_atom_site_label
_atom_site_fract_x
_atom_site_fract_y
_atom_site_fract_z
Tl1 0.000 0.000 0.000
Fe1 0.000 0.500 0.751
Ir1 0.000 0.000 0.474
Ir2 0.000 0.500 0.235
```

Record 7
Computed, not measured: MoPO5 after structural relaxation at the PBEsol level of DFT.

Relative energy among the computed polymorphs, eV/atom: 0.018
Energy, eV/atom: -8.302

```
data_MoPO5
_chemical_formula_sum 'Mo2 P2 O10'
_cell_length_a 6.213
_cell_length_b 6.213
_cell_length_c 4.195
_cell_angle_alpha 90.00
_cell_angle_beta 90.00
_cell_angle_gamma 90.00
_symmetry_space_group_name_H-M 'P 4/n'
_symmetry_Int_Tables_number 85
loop_
_symmetry_equiv_pos_as_xyz
'x,y,z'
'-x,-y,-z'
'-y+1/2,x,z'
'y+1/2,-x,-z'
'-x+1/2,-y+1/2,z'
'x+1/2,y+1/2,-z'
'y,-x+1/2,z'
'-y,x+1/2,-z'
loop_
_atom_site_label
_atom_site_fract_x
_atom_site_fract_y
_atom_site_fract_z
Mo1 0.250 0.250 0.196
P1 0.250 0.750 0.500
O1 0.056 0.694 0.712
O2 0.250 0.250 0.795
```

Record 8
Computed, not measured: Rh2PbAu after structural relaxation at the PBEsol level of DFT.

Energy of formation, eV per atom: 0.134
Energy, eV/atom: -5.916

```
data_Rh2PbAu
_chemical_formula_sum 'Rh2 Pb1 Au1'
_cell_length_a 3.275
_cell_length_b 3.275
_cell_length_c 6.154
_cell_angle_alpha 90.00
_cell_angle_beta 90.00
_cell_angle_gamma 90.00
_symmetry_space_group_name_H-M 'P 4/m m m'
_symmetry_Int_Tables_number 123
_symmetry_space_group_name_Hall '-P 4 2'
loop_
_atom_site_label
_atom_site_fract_x
_atom_site_fract_y
_atom_site_fract_z
Rh1 0.000 0.000 0.247
Pb1 0.500 0.500 0.500
Au1 0.500 0.500 0.000
```